Entry 1:
Compound: La2ScIn
Source: Alexandria
Functional: GGA-PBEsol
Structure: relaxed

a = 3.4699 Å, b = 3.4699 Å, c = 32.4767 Å
α = 90.00°, β = 90.00°, γ = 120.00°
Space group R3m (No. 160, hexagonal axes)
Inequivalent atoms, fractional coordinates:
La (0.0000, 0.0000, 0.0000) [3 per cell]
La (0.0000, 0.0000, 0.2408) [3 per cell]
Sc (0.0000, 0.0000, 0.7508) [3 per cell]
In (0.0000, 0.0000, 0.4901) [3 per cell]

Calculated values
Energy of formation from the pure elements: -116 meV per atom
Calculated volume: 28.22 Å³/atom



Entry 2:
Compound: La2ScIn2
Source: Alexandria
Functional: GGA-PBEsol
Structure: relaxed

a = 7.8758 Å, b = 7.8758 Å, c = 4.7527 Å
α = 90.00°, β = 90.00°, γ = 90.00°
Space group P4/mbm (No. 127)
Inequivalent atoms, fractional coordinates:
La (0.1704, 0.3296, 0.0000) [4 per cell]
Sc (0.0000, 0.0000, 0.5000) [2 per cell]
In (0.1313, 0.6313, 0.5000) [4 per cell]

Calculated values
Energy of formation from the pure elements: -387 meV per atom
Calculated volume: 29.48 Å³/atom



Entry 3:
Compound: LaSc2In
Source: Alexandria
Functional: GGA-PBEsol
Structure: relaxed

a = 3.2511 Å, b = 3.2511 Å, c = 33.1861 Å
α = 90.00°, β = 90.00°, γ = 120.00°
Space group R-3m (No. 166, hexagonal axes)
Inequivalent atoms, fractional coordinates:
La (0.0000, 0.0000, 0.0000) [3 per cell]
Sc (0.0000, 0.0000, 0.0940) [6 per cell]
In (0.0000, 0.0000, 0.5000) [3 per cell]

Calculated values
Energy of formation from the pure elements: 3 meV per atom
Calculated volume: 25.32 Å³/atom



Entry 4:
Compound: La2ScIn
Source: Alexandria
Functional: GGA-PBEsol
Structure: relaxed

a = 4.7218 Å, b = 4.7218 Å, c = 4.9684 Å
α = 90.00°, β = 90.00°, γ = 90.00°
Space group P4/mmm (No. 123)
Inequivalent atoms, fractional coordinates:
La (0.0000, 0.5000, 0.0000) [2 per cell]
Sc (0.0000, 0.0000, 0.5000) [1 per cell]
In (0.5000, 0.5000, 0.5000) [1 per cell]

Calculated values
Energy of formation from the pure elements: -282 meV per atom
Calculated volume: 27.69 Å³/atom



Entry 5:
Compound: LaSc2In
Source: Alexandria
Functional: GGA-PBEsol
Structure: relaxed

a = 3.5704 Å, b = 5.0810 Å, c = 5.5769 Å
α = 90.00°, β = 90.00°, γ = 90.00°
Space group Pmmm (No. 47)
Inequivalent atoms, fractional coordinates:
La (0.0000, 0.0000, 0.0000) [1 per cell]
Sc (0.0000, 0.5000, 0.5000) [1 per cell]
Sc (0.5000, 0.5000, 0.0000) [1 per cell]
In (0.5000, 0.0000, 0.5000) [1 per cell]

Calculated values
Energy of formation from the pure elements: -182 meV per atom
Calculated volume: 25.29 Å³/atom



Entry 6:
Compound: La2ScIn
Source: Alexandria
Functional: GGA-PBEsol
Structure: relaxed

a = 3.3726 Å, b = 5.7627 Å, c = 5.7696 Å
α = 90.00°, β = 96.79°, γ = 90.00°
Space group P2/m (No. 10)
Inequivalent atoms, fractional coordinates:
La (0.2053, 0.0000, 0.2657) [2 per cell]
Sc (0.5000, 0.5000, 0.0000) [1 per cell]
In (0.0000, 0.5000, 0.5000) [1 per cell]

Calculated values
Energy of formation from the pure elements: -130 meV per atom
Calculated volume: 27.84 Å³/atom



Entry 7:
Compound: LaSc2In
Source: Alexandria
Functional: GGA-PBEsol
Structure: relaxed

a = 4.7136 Å, b = 4.7136 Å, c = 9.0487 Å
α = 90.00°, β = 90.00°, γ = 90.00°
Space group I4/mmm (No. 139)
Inequivalent atoms, fractional coordinates:
La (0.0000, 0.0000, 0.0000) [2 per cell]
Sc (0.0000, 0.5000, 0.2500) [4 per cell]
In (0.0000, 0.0000, 0.5000) [2 per cell]

Calculated values
Energy of formation from the pure elements: -172 meV per atom
Calculated volume: 25.13 Å³/atom



Entry 8:
Compound: LaSc2In2
Source: Alexandria
Functional: GGA-PBEsol
Structure: relaxed

a = 8.7430 Å, b = 8.7430 Å, c = 3.1801 Å
α = 90.00°, β = 90.00°, γ = 90.00°
Space group P4/mbm (No. 127)
Inequivalent atoms, fractional coordinates:
La (0.0000, 0.0000, 0.0000) [2 per cell]
Sc (0.1226, 0.3774, 0.0000) [4 per cell]
In (0.1737, 0.6737, 0.5000) [4 per cell]

Calculated values
Energy of formation from the pure elements: -415 meV per atom
Calculated volume: 24.31 Å³/atom



Entry 9:
Compound: La2ScIn
Source: Alexandria
Functional: GGA-PBEsol
Structure: relaxed

a = 3.7014 Å, b = 4.5967 Å, c = 6.7788 Å
α = 90.00°, β = 90.00°, γ = 90.00°
Space group Pmmm (No. 47)
Inequivalent atoms, fractional coordinates:
La (0.0000, 0.0000, 0.2431) [2 per cell]
Sc (0.5000, 0.5000, 0.5000) [1 per cell]
In (0.5000, 0.5000, 0.0000) [1 per cell]

Calculated values
Energy of formation from the pure elements: -224 meV per atom
Calculated volume: 28.83 Å³/atom



Entry 10:
Compound: La2ScIn
Source: Alexandria
Functional: GGA-PBEsol
Structure: relaxed

a = 3.5277 Å, b = 5.1468 Å, c = 6.6656 Å
α = 90.00°, β = 105.07°, γ = 90.00°
Space group Pm (No. 6)
Inequivalent atoms, fractional coordinates:
La (0.0000, 0.0000, 0.0000) [1 per cell]
La (0.3163, 0.5000, 0.6399) [1 per cell]
Sc (0.5932, 0.5000, 0.1878) [1 per cell]
In (0.7206, 0.0000, 0.4456) [1 per cell]

Calculated values
Energy of formation from the pure elements: -233 meV per atom
Calculated volume: 29.22 Å³/atom



Entry 11:
Compound: La2ScIn
Source: Alexandria
Functional: GGA-PBEsol
Structure: relaxed

a = 3.5561 Å, b = 3.5561 Å, c = 8.7934 Å
α = 90.00°, β = 90.00°, γ = 90.00°
Space group P4mm (No. 99)
Inequivalent atoms, fractional coordinates:
La (0.0000, 0.0000, 0.0000) [1 per cell]
La (0.5000, 0.5000, 0.2938) [1 per cell]
Sc (0.0000, 0.0000, 0.5483) [1 per cell]
In (0.5000, 0.5000, 0.7412) [1 per cell]

Calculated values
Energy of formation from the pure elements: -238 meV per atom
Calculated volume: 27.80 Å³/atom



Entry 12:
Compound: La2ScIn
Source: Alexandria
Functional: GGA-PBEsol
Structure: relaxed

a = 3.7888 Å, b = 5.4842 Å, c = 11.0867 Å
α = 90.00°, β = 90.00°, γ = 90.00°
Space group Imm2 (No. 44)
Inequivalent atoms, fractional coordinates:
La (0.0000, 0.0000, 0.0000) [2 per cell]
La (0.0000, 0.5000, 0.2243) [2 per cell]
Sc (0.0000, 0.5000, 0.7696) [2 per cell]
In (0.0000, 0.0000, 0.4741) [2 per cell]

Calculated values
Energy of formation from the pure elements: -239 meV per atom
Calculated volume: 28.80 Å³/atom